First-principles (GGA+U) data for CrCdAgF6 after structural relaxation, as listed in the Alexandria database.

Cell: 5.7225 5.7225 9.7944 Å, 90.00 90.00 120.00°
Space group P-31c (No. 163)
One atom of each set of equivalent atoms:
Cr  0.3333  0.6667  0.2500
Cd  0.3333  0.6667  0.7500
Ag  0.0000  0.0000  0.0000
F  0.0416  0.3873  0.1402

Summary:
- E_tot (eV/atom) = -4.672
- total magnetic moment (μB per formula unit) = 2.898
- density of states at the Fermi level (states/eV/atom) = 0.00